No. 1
DFT (PBE) results for a relaxed NaTbHgS3 crystal.

Summary:
relative energy among the computed polymorphs = 39.9 meV/atom
raw total energy = -4.240 eV/atom
density = 5.5 g/cm³

abc: 8.7611 8.7611 8.7959
angles: 104.92 104.92 26.31
Fractional positions:
Na (0.1321, 0.1321, 0.0734)
Na (0.8679, 0.8679, 0.9266)
Tb (0.1748, 0.1748, 0.5963)
Tb (0.8252, 0.8252, 0.4037)
Hg (0.4835, 0.4835, 0.2749)
Hg (0.5165, 0.5165, 0.7251)
S (0.0000, 0.0000, 0.5000)
S (0.3229, 0.3229, 0.1894)
S (0.3362, 0.3362, 0.6275)
S (0.5000, 0.5000, 0.0000)
S (0.6638, 0.6638, 0.3725)
S (0.6771, 0.6771, 0.8106)

---

No. 2
DFT (PBE) results for a relaxed NaTbHgS3 crystal.

Summary:
relative energy among the computed polymorphs = 7.2 meV/atom
raw total energy = -4.272 eV/atom
density = 5.5 g/cm³

abc: 12.4889 4.0071 11.5917
angles: 90.00 90.00 90.00
Fractional positions:
Na (0.1266, 0.2500, 0.0129)
Na (0.3734, 0.7500, 0.5129)
Na (0.6266, 0.2500, 0.4871)
Na (0.8734, 0.7500, 0.9871)
Tb (0.0525, 0.2500, 0.6689)
Tb (0.4475, 0.7500, 0.1689)
Tb (0.5525, 0.2500, 0.8311)
Tb (0.9475, 0.7500, 0.3311)
Hg (0.2341, 0.2500, 0.2951)
Hg (0.2659, 0.7500, 0.7951)
Hg (0.7341, 0.2500, 0.2049)
Hg (0.7659, 0.7500, 0.7049)
S (0.0629, 0.7500, 0.8406)
S (0.0751, 0.2500, 0.4221)
S (0.2340, 0.7500, 0.1456)
S (0.2660, 0.2500, 0.6456)
S (0.4249, 0.7500, 0.9221)
S (0.4371, 0.2500, 0.3406)
S (0.5629, 0.7500, 0.6594)
S (0.5751, 0.2500, 0.0779)
S (0.7340, 0.7500, 0.3544)
S (0.7660, 0.2500, 0.8544)
S (0.9249, 0.7500, 0.5779)
S (0.9371, 0.2500, 0.1594)

---

No. 3
DFT (PBE) results for a relaxed NaTbHgS3 crystal.

Summary:
relative energy among the computed polymorphs = 0.0 meV/atom
raw total energy = -4.279 eV/atom
density = 4.9 g/cm³

abc: 14.3849 4.0346 11.1241
angles: 90.00 90.00 90.00
Fractional positions:
Na (0.2120, 0.2500, 0.1959)
Na (0.2880, 0.7500, 0.6959)
Na (0.7120, 0.2500, 0.3041)
Na (0.7880, 0.7500, 0.8041)
Tb (0.0358, 0.7500, 0.8532)
Tb (0.4642, 0.2500, 0.3532)
Tb (0.5358, 0.7500, 0.6468)
Tb (0.9642, 0.2500, 0.1468)
Hg (0.0567, 0.2500, 0.6001)
Hg (0.4433, 0.7500, 0.1001)
Hg (0.5567, 0.2500, 0.8999)
Hg (0.9433, 0.7500, 0.3999)
S (0.0654, 0.2500, 0.3699)
S (0.0865, 0.7500, 0.0860)
S (0.1600, 0.2500, 0.7805)
S (0.3400, 0.7500, 0.2805)
S (0.4135, 0.2500, 0.5860)
S (0.4346, 0.7500, 0.8699)
S (0.5654, 0.2500, 0.1301)
S (0.5865, 0.7500, 0.4140)
S (0.6600, 0.2500, 0.7195)
S (0.8400, 0.7500, 0.2195)
S (0.9135, 0.2500, 0.9140)
S (0.9346, 0.7500, 0.6301)

---

No. 4
DFT (PBE) results for a relaxed NaHg3WS4 crystal.

Summary:
raw total energy = -3.600 eV/atom
density = 3.9 g/cm³

abc: 7.3354 7.3354 7.3354
angles: 90.00 90.00 90.00
Fractional positions:
Na (0.0000, 0.0000, 0.0000)
Hg (0.0000, 0.5000, 0.5000)
Hg (0.5000, 0.0000, 0.5000)
Hg (0.5000, 0.5000, 0.0000)
W (0.5000, 0.5000, 0.5000)
S (0.3245, 0.3245, 0.3245)
S (0.3245, 0.6755, 0.6755)
S (0.6755, 0.3245, 0.6755)
S (0.6755, 0.6755, 0.3245)

---

No. 5
DFT (PBE) results for a relaxed Na2HgWS4 crystal.

Summary:
raw total energy = -4.694 eV/atom
density = 3.8 g/cm³

abc: 7.7987 7.7987 7.7987
angles: 133.46 133.46 67.94
Fractional positions:
Na (0.0000, 0.0000, 0.0000)
Na (0.7500, 0.2500, 0.5000)
Hg (0.2500, 0.7500, 0.5000)
W (0.5000, 0.5000, 0.0000)
S (0.1721, 0.5838, 0.9535)
S (0.4162, 0.3698, 0.5883)
S (0.6302, 0.2186, 0.0465)
S (0.7814, 0.8279, 0.4117)

---

No. 6
DFT (PBE) results for a relaxed NaZrHg3S4 crystal.

Summary:
relative energy among the computed polymorphs = 208.1 meV/atom
raw total energy = -3.462 eV/atom
density = 4.6 g/cm³

abc: 6.7083 6.7083 6.7083
angles: 90.00 90.00 90.00
Fractional positions:
Na (0.0000, 0.0000, 0.0000)
Zr (0.5000, 0.5000, 0.5000)
Hg (0.0000, 0.5000, 0.5000)
Hg (0.5000, 0.0000, 0.5000)
Hg (0.5000, 0.5000, 0.0000)
S (0.2875, 0.2875, 0.2875)
S (0.2875, 0.7125, 0.7125)
S (0.7125, 0.2875, 0.7125)
S (0.7125, 0.7125, 0.2875)

---

No. 7
DFT (PBE) results for a relaxed NaZrHg3S4 crystal.

Summary:
relative energy among the computed polymorphs = 0.0 meV/atom
raw total energy = -3.670 eV/atom
density = 4.9 g/cm³

abc: 7.2982 7.8082 10.5481
angles: 90.00 106.09 90.00
Fractional positions:
Na (0.2004, 0.2500, 0.0124)
Na (0.7996, 0.7500, 0.9876)
Zr (0.2753, 0.7500, 0.2340)
Zr (0.7247, 0.2500, 0.7660)
Hg (0.1060, 0.0209, 0.4081)
Hg (0.1060, 0.4791, 0.4081)
Hg (0.2641, 0.2500, 0.6201)
Hg (0.7359, 0.7500, 0.3799)
Hg (0.8940, 0.5209, 0.5919)
Hg (0.8940, 0.9791, 0.5919)
S (0.0681, 0.5020, 0.1656)
S (0.0681, 0.9980, 0.1656)
S (0.3794, 0.7500, 0.4725)
S (0.4530, 0.2500, 0.8557)
S (0.5470, 0.7500, 0.1443)
S (0.6206, 0.2500, 0.5275)
S (0.9319, 0.0020, 0.8344)
S (0.9319, 0.4980, 0.8344)

---

No. 8
DFT (PBE) results for a relaxed NaHgSb crystal.

Summary:
raw total energy = -2.180 eV/atom
density = 7.1 g/cm³

abc: 4.8615 4.8615 7.8667
angles: 90.00 90.00 120.00
Fractional positions:
Na (0.0000, 0.0000, 0.0000)
Na (0.0000, 0.0000, 0.5000)
Hg (0.3333, 0.6667, 0.1823)
Hg (0.6667, 0.3333, 0.6823)
Sb (0.3333, 0.6667, 0.7913)
Sb (0.6667, 0.3333, 0.2913)

---

Please write out number 8 again, unchanged.
DFT (PBE) results for a relaxed NaHgSb crystal.

Summary:
raw total energy = -2.180 eV/atom
density = 7.1 g/cm³

abc: 4.8615 4.8615 7.8667
angles: 90.00 90.00 120.00
Fractional positions:
Na (0.0000, 0.0000, 0.0000)
Na (0.0000, 0.0000, 0.5000)
Hg (0.3333, 0.6667, 0.1823)
Hg (0.6667, 0.3333, 0.6823)
Sb (0.3333, 0.6667, 0.7913)
Sb (0.6667, 0.3333, 0.2913)

---

Q: Which formula does entry 6 have?
A: NaZrHg3S4